(1)
A plane-wave DFT calculation with PBE-GGA was carried out for an optimized crystal structure of Ba2LiGa.

The calculated total energy is -2.382 eV/atom. Its density of states at the Fermi level is 2.691 states/eV per cell. The value obtained for the density is 3.5 Mg/m³. The value obtained for the total magnetic moment is 0.00 μB/f.u. The formation energy is -0.186 eV per atom.

Lattice parameters (Å, degrees): 8.4760 8.4760 8.4760 33.84 33.84 33.84
Closest atoms and distances in Å follow each position.
Fractional coordinates of all 4 atoms:
Ba1 0.0000 0.0000 0.0000  3 Li 3.49, 3 Ga 3.49
Ba2 0.1679 0.1679 0.1679  3 Ga 3.48, 3 Li 3.48
Li1 0.7507 0.7507 0.7507  3 Ga 2.85
Ga1 0.4178 0.4178 0.4178  3 Li 2.85

(2)
A plane-wave DFT calculation with PBE-GGA was carried out for an optimized crystal structure of BaLi2Ga.

The calculated total energy is -2.372 eV/atom. Its density of states at the Fermi level is 6.854 states/eV per cell. The value obtained for the density is 3.2 Mg/m³. The value obtained for the total magnetic moment is 0.00 μB/f.u. The formation energy is -0.178 eV per atom.

Lattice parameters (Å, degrees): 4.6809 8.1737 6.4022 90.00 111.06 90.00
Closest atoms and distances in Å follow each position.
Fractional coordinates of all 8 atoms:
Ba1 0.0586 0.2500 0.1098  3 Ga 3.40-3.48, 2 Li 3.46
Ba2 0.9414 0.7500 0.8902  3 Ga 3.40-3.48, 2 Li 3.46
Li1 0.3149 0.0667 0.6309  3 Ga 2.78-2.83, 3 Li 3.00-3.02
Li2 0.3149 0.4333 0.6309  3 Ga 2.78-2.83, 3 Li 3.00-3.02
Li3 0.6851 0.5667 0.3691  3 Ga 2.78-2.83, 3 Li 3.00-3.02
Li4 0.6851 0.9333 0.3691  3 Ga 2.78-2.83, 3 Li 3.00-3.02
Ga1 0.2300 0.7500 0.4592  6 Li 2.78-2.83
Ga2 0.7700 0.2500 0.5408  6 Li 2.78-2.83

(3)
A plane-wave DFT calculation with PBE-GGA was carried out for an optimized crystal structure of BaLi2Ga.

The calculated total energy is -2.215 eV/atom. Its density of states at the Fermi level is 3.202 states/eV per cell. The value obtained for the density is 3.4 Mg/m³. The value obtained for the total magnetic moment is 0.00 μB/f.u. The formation energy is -0.020 eV per atom.

Lattice parameters (Å, degrees): 3.7662 3.7662 7.5166 90.00 90.00 90.00
Closest atoms and distances in Å follow each position.
Fractional coordinates of all 4 atoms:
Ba1 0.0000 0.0000 0.0000  8 Li 3.65, 2 Ga 3.76, 4 Ba 3.77
Li1 0.5000 0.5000 0.3327  1 Li 2.51
Li2 0.5000 0.5000 0.6673  1 Li 2.51
Ga1 0.0000 0.0000 0.5000  8 Li 2.94

(4)
A plane-wave DFT calculation with PBE-GGA was carried out for an optimized crystal structure of BaLiGa.

The calculated total energy is -2.537 eV/atom. Its density of states at the Fermi level is 3.327 states/eV per cell. As for the polymorph energy (0 for the lowest one): 4.9 kJ/mol of atoms. The value obtained for the density is 3.6 Mg/m³. The value obtained for the total magnetic moment is 0.00 μB/f.u. The formation energy is -0.249 eV per atom.

Lattice parameters (Å, degrees): 11.1471 11.1471 11.1471 23.87 23.87 23.87
Closest atoms and distances in Å follow each position.
Fractional coordinates of all 6 atoms:
Ba1 0.0000 0.0000 0.0000  1 Li 3.33, 3 Ga 3.39
Ba2 0.2055 0.2055 0.2055  1 Li 3.34, 3 Ga 3.39
Li1 0.1027 0.1027 0.1027  3 Li 2.66, 6 Ga 2.93-2.94
Li2 0.7694 0.7694 0.7694  3 Li 2.66, 6 Ga 2.93-2.94
Ga1 0.3978 0.3978 0.3978  1 Ga 2.48
Ga2 0.4740 0.4740 0.4740  1 Ga 2.48

(5)
A plane-wave DFT calculation with PBE-GGA was carried out for an optimized crystal structure of BaLi2Ga.

The calculated total energy is -2.372 eV/atom. Its density of states at the Fermi level is 3.572 states/eV per cell. The value obtained for the density is 3.2 Mg/m³. The value obtained for the total magnetic moment is 0.00 μB/f.u. The formation energy is -0.177 eV per atom.

Lattice parameters (Å, degrees): 6.4943 6.4943 6.4943 42.94 42.94 42.94
Closest atoms and distances in Å follow each position.
Fractional coordinates of all 4 atoms:
Ba1 0.0000 0.0000 0.0000  1 Li 3.26, 4 Ga 3.50-3.64
Li1 0.1848 0.1848 0.1848  3 Li 2.79, 3 Ga 2.88
Li2 0.4885 0.4885 0.4885  3 Ga 2.77, 3 Li 2.79
Ga1 0.8018 0.8018 0.8018  6 Li 2.77-2.88

(6)
A plane-wave DFT calculation with PBE-GGA was carried out for an optimized crystal structure of BaLiGa.

The calculated total energy is -2.588 eV/atom. Its density of states at the Fermi level is 2.487 states/eV per cell. As for the polymorph energy (0 for the lowest one): 0.0 kJ/mol of atoms. The value obtained for the density is 4.0 Mg/m³. The value obtained for the total magnetic moment is 0.00 μB/f.u. The formation energy is -0.300 eV per atom.

Lattice parameters (Å, degrees): 8.1412 8.1412 8.1412 145.01 145.01 50.33
Closest atoms and distances in Å follow each position.
Fractional coordinates of all 6 atoms:
Ba1 0.1743 0.1743 0.0000  5 Ga 3.50-3.69, 4 Li 3.55
Ba2 0.8257 0.8257 0.0000  5 Ga 3.50-3.69, 4 Li 3.55
Li1 0.0000 0.5000 0.5000  4 Ga 2.77
Li2 0.5000 0.0000 0.5000  4 Ga 2.77
Ga1 0.4120 0.4120 0.0000  1 Ga 2.59, 4 Li 2.77
Ga2 0.5880 0.5880 0.0000  1 Ga 2.59, 4 Li 2.77

(7)
A plane-wave DFT calculation with PBE-GGA was carried out for an optimized crystal structure of BaLiGa.

The calculated total energy is -2.544 eV/atom. Its density of states at the Fermi level is 2.605 states/eV per cell. As for the polymorph energy (0 for the lowest one): 4.2 kJ/mol of atoms. The value obtained for the density is 4.0 Mg/m³. The value obtained for the total magnetic moment is 0.00 μB/f.u. The formation energy is -0.256 eV per atom.

Lattice parameters (Å, degrees): 6.5248 6.5248 6.6884 111.02 111.02 43.04
Closest atoms and distances in Å follow each position.
Fractional coordinates of all 6 atoms:
Ba1 0.0000 0.0000 0.0000  5 Li 3.44-3.71, 5 Ga 3.65-3.71
Ba2 0.2036 0.2036 0.6102  5 Li 3.49-3.75, 5 Ga 3.49-3.69, 1 Ba 3.87
Li1 0.7006 0.7006 0.9883  1 Li 2.73, 3 Ga 2.85-3.01
Li2 0.8706 0.8706 0.3994  1 Li 2.73, 4 Ga 2.75-2.78
Ga1 0.3243 0.3243 0.1808  1 Ga 2.57, 4 Li 2.75-2.85
Ga2 0.4859 0.4859 0.5664  1 Ga 2.57, 2 Li 2.78

(8)
A plane-wave DFT calculation with PBE-GGA was carried out for an optimized crystal structure of BaLiMg2Ga2.

The calculated total energy is -2.434 eV/atom. Its density of states at the Fermi level is 4.343 states/eV per cell. The value obtained for the density is 3.6 Mg/m³. The value obtained for the total magnetic moment is 0.00 μB/f.u. The formation energy is -0.254 eV per atom.

Lattice parameters (Å, degrees): 4.7326 4.7326 7.9869 90.00 90.00 120.00
Closest atoms and distances in Å follow each position.
Fractional coordinates of all 6 atoms:
Ba1 0.0000 0.0000 0.0000  6 Ga 3.56, 6 Mg 3.93
Li1 0.0000 0.0000 0.5000  6 Mg 2.97, 6 Ga 3.22
Mg1 0.3333 0.6667 0.6459  4 Ga 2.79-2.87, 3 Li 2.97
Mg2 0.6667 0.3333 0.3541  4 Ga 2.79-2.87, 3 Li 2.97
Ga1 0.3333 0.6667 0.2861  4 Mg 2.79-2.87
Ga2 0.6667 0.3333 0.7139  4 Mg 2.79-2.87